# NpBeBi

A relaxed structure of NpBeBi (GGA-PBE, the Open Quantum Materials Database).

Cell and atoms, written as POSCAR:
```
NpBeBi
1.0
0.000 3.242 3.242
3.242 0.000 3.242
3.242 3.242 0.000
Be Bi Np
1 1 1
direct
0.000 0.000 0.000 Be
0.250 0.250 0.250 Bi
0.750 0.750 0.750 Np
```

Raw total energy: -6.48 eV/atom
Crystal system: cubic
Total moment: 4.79 μB/f.u.